[1]
Material: Er3NbSn2C2
Method: DFT, PBE-GGA
State: relaxed

CIF file:
```
data_Er3NbSn2C2
_chemical_formula_sum 'Er3 Nb1 Sn2 C2'
_space_group_name_H-M_alt 'P 3 m 1'
_space_group_IT_number 156
_cell_length_a 3.4686
_cell_length_b 3.4686
_cell_length_c 15.3160
_cell_angle_alpha 90.00
_cell_angle_beta 90.00
_cell_angle_gamma 120.00
loop_
_space_group_symop_operation_xyz
'x,y,z'
'-y,x-y,z'
'-x+y,-x,z'
'-y,-x,z'
'-x+y,y,z'
'x,x-y,z'
loop_
_atom_site_label
_atom_site_fract_x
_atom_site_fract_y
_atom_site_fract_z
Er1 0.0000 0.0000 0.0000
Er2 0.0000 0.0000 0.3405
Er3 0.3333 0.6667 0.5150
Nb1 0.3333 0.6667 0.8376
Sn1 0.0000 0.0000 0.6891
Sn2 0.3333 0.6667 0.1683
C1 0.6667 0.3333 0.4284
C2 0.6667 0.3333 0.9084
```

***

[2]
Material: ErNb3Sn2C2
Method: DFT, PBE-GGA
State: relaxed

CIF file:
```
data_ErNb3Sn2C2
_chemical_formula_sum 'Er1 Nb3 Sn2 C2'
_space_group_name_H-M_alt 'P 3 m 1'
_space_group_IT_number 156
_cell_length_a 3.3048
_cell_length_b 3.3048
_cell_length_c 14.4607
_cell_angle_alpha 90.00
_cell_angle_beta 90.00
_cell_angle_gamma 120.00
loop_
_space_group_symop_operation_xyz
'x,y,z'
'-y,x-y,z'
'-x+y,-x,z'
'-y,-x,z'
'-x+y,y,z'
'x,x-y,z'
loop_
_atom_site_label
_atom_site_fract_x
_atom_site_fract_y
_atom_site_fract_z
Er1 0.0000 0.0000 0.0000
Nb1 0.0000 0.0000 0.3433
Nb2 0.3333 0.6667 0.5012
Nb3 0.3333 0.6667 0.8202
Sn1 0.0000 0.0000 0.6607
Sn2 0.3333 0.6667 0.1826
C1 0.6667 0.3333 0.4220
C2 0.6667 0.3333 0.9001
```

***

no.,size of the total moment (μB per atom),raw total energy (eV per cell)
1,0.002,-54.37
2,0.000,-64.98